Density functional theory data (PBE-GGA) for crystalline Zn2Ni5B2 at its relaxed geometry.

Results
**Space group**: Cmce, No. 64

Cell lengths 7.182, 7.182, 5.310 Å; angles 90.00, 90.00, 43.57 degrees
Atoms (fractional coordinates):
Zn (0.228, 0.228, 0.000)
Zn (0.272, 0.272, 0.500)
Zn (0.728, 0.728, 0.500)
Zn (0.772, 0.772, 0.000)
Ni (0.000, 0.000, 0.000)
Ni (0.065, 0.722, 0.672)
Ni (0.222, 0.565, 0.172)
Ni (0.278, 0.935, 0.672)
Ni (0.435, 0.778, 0.172)
Ni (0.500, 0.500, 0.500)
Ni (0.565, 0.222, 0.828)
Ni (0.722, 0.065, 0.328)
Ni (0.778, 0.435, 0.828)
Ni (0.935, 0.278, 0.328)
B (0.123, 0.877, 0.378)
B (0.377, 0.623, 0.878)
B (0.623, 0.377, 0.122)
B (0.877, 0.123, 0.622)

Density functional theory data (PBE-GGA) for crystalline Zn2Ni21B20 at its relaxed geometry.

Results
**Space group**: I4/mmm, No. 139

Cell lengths 8.766, 8.766, 8.766 Å; angles 131.53, 131.53, 70.97 degrees
Atoms (fractional coordinates):
Zn (0.190, 0.190, 0.000)
Zn (0.810, 0.810, 0.000)
Ni (0.000, 0.000, 0.000)
Ni (0.000, 0.000, 0.500)
Ni (0.000, 0.500, 0.000)
Ni (0.101, 0.400, 0.300)
Ni (0.101, 0.801, 0.700)
Ni (0.199, 0.899, 0.300)
Ni (0.240, 0.500, 0.740)
Ni (0.250, 0.750, 0.500)
Ni (0.362, 0.362, 0.000)
Ni (0.400, 0.101, 0.300)
Ni (0.500, 0.000, 0.000)
Ni (0.500, 0.240, 0.740)
Ni (0.500, 0.500, 0.500)
Ni (0.500, 0.760, 0.260)
Ni (0.600, 0.899, 0.700)
Ni (0.638, 0.638, 0.000)
Ni (0.750, 0.250, 0.500)
Ni (0.760, 0.500, 0.260)
Ni (0.801, 0.101, 0.700)
Ni (0.899, 0.199, 0.300)
Ni (0.899, 0.600, 0.700)
B (0.046, 0.346, 0.700)
B (0.188, 0.188, 0.587)
B (0.188, 0.601, 0.000)
B (0.202, 0.202, 0.404)
B (0.202, 0.798, 0.000)
B (0.346, 0.046, 0.700)
B (0.346, 0.646, 0.300)
B (0.354, 0.654, 0.700)
B (0.399, 0.399, 0.587)
B (0.399, 0.812, 0.000)
B (0.601, 0.188, 0.000)
B (0.601, 0.601, 0.413)
B (0.646, 0.346, 0.300)
B (0.654, 0.354, 0.700)
B (0.654, 0.954, 0.300)
B (0.798, 0.202, 0.000)
B (0.798, 0.798, 0.596)
B (0.812, 0.399, 0.000)
B (0.812, 0.812, 0.413)
B (0.954, 0.654, 0.300)

Density functional theory data (PBE-GGA) for crystalline ZnNi2B at its relaxed geometry.

Results
**Space group**: R-3m, No. 166
**Excess energy over the best structure of this formula in the dataset**: 0.94 eV per formula unit

Cell lengths 2.752, 2.752, 21.540 Å; angles 90.00, 90.00, 120.00 degrees
Atoms (fractional coordinates):
Zn (0.000, 0.000, 0.000)
Zn (0.333, 0.667, 0.667)
Zn (0.667, 0.333, 0.333)
Ni (0.000, 0.000, 0.113)
Ni (0.000, 0.000, 0.887)
Ni (0.333, 0.667, 0.554)
Ni (0.333, 0.667, 0.780)
Ni (0.667, 0.333, 0.220)
Ni (0.667, 0.333, 0.446)
B (0.000, 0.000, 0.500)
B (0.333, 0.667, 0.167)
B (0.667, 0.333, 0.833)

Density functional theory data (PBE-GGA) for crystalline ZnNi10B3 at its relaxed geometry.

Results
**Space group**: Fm-3m, No. 225

Cell lengths 7.388, 7.388, 7.388 Å; angles 60.00, 60.00, 60.00 degrees
Atoms (fractional coordinates):
Zn (0.250, 0.250, 0.250)
Zn (0.750, 0.750, 0.750)
Ni (0.000, 0.000, 0.334)
Ni (0.000, 0.000, 0.666)
Ni (0.000, 0.334, 0.000)
Ni (0.000, 0.334, 0.666)
Ni (0.000, 0.666, 0.000)
Ni (0.000, 0.666, 0.334)
Ni (0.149, 0.617, 0.617)
Ni (0.334, 0.000, 0.000)
Ni (0.334, 0.000, 0.666)
Ni (0.334, 0.666, 0.000)
Ni (0.383, 0.383, 0.383)
Ni (0.383, 0.383, 0.851)
Ni (0.383, 0.851, 0.383)
Ni (0.617, 0.149, 0.617)
Ni (0.617, 0.617, 0.149)
Ni (0.617, 0.617, 0.617)
Ni (0.666, 0.000, 0.000)
Ni (0.666, 0.000, 0.334)
Ni (0.666, 0.334, 0.000)
Ni (0.851, 0.383, 0.383)
B (0.274, 0.274, 0.726)
B (0.274, 0.726, 0.274)
B (0.274, 0.726, 0.726)
B (0.726, 0.274, 0.274)
B (0.726, 0.274, 0.726)
B (0.726, 0.726, 0.274)

Density functional theory data (PBE-GGA) for crystalline Zn3Ni20B6 at its relaxed geometry.

Results
**Space group**: Fm-3m, No. 225

Cell lengths 7.430, 7.430, 7.430 Å; angles 60.00, 60.00, 60.00 degrees
Atoms (fractional coordinates):
Zn (0.000, 0.000, 0.000)
Zn (0.250, 0.250, 0.250)
Zn (0.750, 0.750, 0.750)
Ni (0.000, 0.000, 0.338)
Ni (0.000, 0.000, 0.662)
Ni (0.000, 0.338, 0.000)
Ni (0.000, 0.338, 0.662)
Ni (0.000, 0.662, 0.000)
Ni (0.000, 0.662, 0.338)
Ni (0.150, 0.617, 0.617)
Ni (0.338, 0.000, 0.000)
Ni (0.338, 0.000, 0.662)
Ni (0.338, 0.662, 0.000)
Ni (0.383, 0.383, 0.383)
Ni (0.383, 0.383, 0.850)
Ni (0.383, 0.850, 0.383)
Ni (0.617, 0.150, 0.617)
Ni (0.617, 0.617, 0.150)
Ni (0.617, 0.617, 0.617)
Ni (0.662, 0.000, 0.000)
Ni (0.662, 0.000, 0.338)
Ni (0.662, 0.338, 0.000)
Ni (0.850, 0.383, 0.383)
B (0.275, 0.275, 0.725)
B (0.275, 0.725, 0.275)
B (0.275, 0.725, 0.725)
B (0.725, 0.275, 0.275)
B (0.725, 0.275, 0.725)
B (0.725, 0.725, 0.275)

Density functional theory data (PBE-GGA) for crystalline ZnNi2B at its relaxed geometry.

Results
**Space group**: I-42d, No. 122
**Excess energy over the best structure of this formula in the dataset**: 2.73 eV per formula unit

Cell lengths 3.781, 3.781, 13.836 Å; angles 90.00, 90.00, 90.00 degrees
Atoms (fractional coordinates):
Zn (0.000, 0.000, 0.000)
Zn (0.000, 0.500, 0.250)
Zn (0.500, 0.000, 0.750)
Zn (0.500, 0.500, 0.500)
Ni (0.167, 0.250, 0.625)
Ni (0.250, 0.667, 0.875)
Ni (0.250, 0.833, 0.375)
Ni (0.333, 0.250, 0.125)
Ni (0.667, 0.750, 0.125)
Ni (0.750, 0.167, 0.375)
Ni (0.750, 0.333, 0.875)
Ni (0.833, 0.750, 0.625)
B (0.000, 0.000, 0.500)
B (0.000, 0.500, 0.750)
B (0.500, 0.000, 0.250)
B (0.500, 0.500, 0.000)

Density functional theory data (PBE-GGA) for crystalline ZnNi5B at its relaxed geometry.

Results
**Space group**: P4/mmm, No. 123

Cell lengths 3.497, 3.497, 6.101 Å; angles 90.00, 90.00, 90.00 degrees
Atoms (fractional coordinates):
Zn (0.000, 0.000, 0.000)
Ni (0.000, 0.500, 0.306)
Ni (0.000, 0.500, 0.694)
Ni (0.500, 0.000, 0.306)
Ni (0.500, 0.000, 0.694)
Ni (0.500, 0.500, 0.000)
B (0.500, 0.500, 0.500)

Density functional theory data (PBE-GGA) for crystalline ZnNi7B5 at its relaxed geometry.

Results
**Space group**: Cm, No. 8

Cell lengths 5.557, 5.557, 4.801 Å; angles 115.50, 115.50, 88.90 degrees
Atoms (fractional coordinates):
Zn (0.000, 0.000, 0.000)
Ni (0.300, 0.720, 0.120)
Ni (0.320, 0.915, 0.738)
Ni (0.325, 0.325, 0.608)
Ni (0.621, 0.621, 0.571)
Ni (0.720, 0.300, 0.120)
Ni (0.806, 0.806, 0.274)
Ni (0.915, 0.320, 0.738)
B (0.012, 0.600, 0.597)
B (0.124, 0.521, 0.284)
B (0.326, 0.326, 0.077)
B (0.521, 0.124, 0.284)
B (0.600, 0.012, 0.597)

Here are the calculated DFT total energy numbers, same order: -5.2211; -6.2485; -4.8349; -5.8868; -5.7809; -4.3894; -5.3931; -5.9394 (eV/atom).
Here are the calculated calculated volume numbers, same order: 10.5; 8.6; 11.8; 10.2; 10.0; 12.4; 10.7; 9.1 (A^3/atom).